1.
A geometry-optimized Ce8Ru2Pb3 structure, computed with PBE.

## Properties
As for the space-group type: R-3m (166). The value obtained for the density of states at the Fermi level is 30.48 states/eV/f.u. For the uncorrected energy, the calculation gives -79.2 eV per formula unit.

abc: 6.506 6.506 10.838
angles: 72.53 72.53 60.00
Sites, in units of the cell vectors:
Ce  0.248  0.814  0.689
Ce  0.752  0.752  0.311
Pb  0.000  0.000  0.000
Ce  0.814  0.248  0.689
Ce  0.248  0.248  0.689
Pb  0.199  0.199  0.403
Ru  0.617  0.617  0.148
Ce  0.696  0.696  0.912
Ce  0.304  0.304  0.088
Ce  0.752  0.186  0.311
Ru  0.383  0.383  0.852
Pb  0.801  0.801  0.597
Ce  0.186  0.752  0.311

=====

2.
A geometry-optimized Tm3ScCo2 structure, computed with PBE.

## Properties
As for the space-group type: Immm (71). As for the polymorph energy (0 for the lowest one): 7 meV/atom. The value obtained for the density of states at the Fermi level is 4.01 states/eV/f.u. For the uncorrected energy, the calculation gives -34.6 eV per formula unit.

abc: 4.011 4.523 7.635
angles: 107.20 105.23 90.00
Sites, in units of the cell vectors:
Co  0.376  0.877  0.753
Tm  0.813  0.313  0.627
Sc  0.000  0.000  0.000
Tm  0.500  0.500  0.000
Tm  0.187  0.687  0.373
Co  0.624  0.123  0.247

=====

3.
A geometry-optimized BeCo2Tc structure, computed with PBE.

## Properties
As for the space-group type: I-4m2 (119). As for the polymorph energy (0 for the lowest one): 188 meV/atom. The value obtained for the density of states at the Fermi level is 4.66 states/eV/f.u. For the uncorrected energy, the calculation gives -28.2 eV per formula unit.

abc: 4.377 4.377 4.377
angles: 133.18 133.18 68.37
Sites, in units of the cell vectors:
Tc  0.500  0.500  0.000
Co  0.250  0.750  0.500
Be  0.750  0.250  0.500
Co  0.000  0.000  0.000

=====

4.
A geometry-optimized SrInGaHIr structure, computed with PBE.

## Properties
As for the space-group type: Amm2 (38). As for the polymorph energy (0 for the lowest one): 195 meV/atom. The value obtained for the density of states at the Fermi level is 1.20 states/eV/f.u. For the uncorrected energy, the calculation gives -21.0 eV per formula unit.

abc: 4.402 3.663 12.270
angles: 90.00 90.00 90.00
Sites, in units of the cell vectors:
In  0.000  0.500  0.523
H  0.000  0.500  0.737
H  0.000  0.000  0.237
Ir  0.000  0.000  0.713
Sr  0.500  0.000  0.346
Ga  0.500  0.500  0.118
In  0.000  0.000  0.023
Ga  0.500  0.000  0.618
Sr  0.500  0.500  0.846
Ir  0.000  0.500  0.213

=====

5.
A geometry-optimized NaNpI4 structure, computed with PBE.

## Properties
The formation energy (no corrections) comes out at -985 meV per atom. As for the space-group type: C2/m (12). As for the polymorph energy (0 for the lowest one): 0 meV/atom. The value obtained for the density of states at the Fermi level is 7.52 states/eV/f.u. For the uncorrected energy, the calculation gives -26.4 eV per formula unit.

abc: 4.591 8.830 8.022
angles: 116.70 90.00 105.07
Sites, in units of the cell vectors:
I  0.619  0.239  0.970
I  0.887  0.774  0.570
I  0.113  0.226  0.430
I  0.381  0.761  0.030
Na  0.500  0.000  0.500
Np  0.000  0.000  0.000

=====

no.,magnetization (μB per formula unit)
1,5.152
2,0.000
3,0.317
4,0.000
5,4.000